Entry 1:
Compound: RbFe3N
Source: the Alexandria database
Functional: GGA-PBE
Structure: relaxed

a b c (Å): 4.5734 4.5734 4.5734
angles (deg): 90.00 90.00 90.00
Last column: nearest neighbours and their distance in Å.
Sites, in units of the cell vectors:
Rb 0.0000 0.0000 0.0000  6 Fe 2.29
Fe 0.0000 0.0000 0.5000  2 Rb 2.29
Fe 0.0000 0.5000 0.0000  2 Rb 2.29
Fe 0.5000 0.0000 0.0000  2 Rb 2.29
N 0.5000 0.5000 0.5000  12 Fe 3.23

Values from the calculation:
Fermi-level density of states in states/eV per cell: 5.6
Formation energy without anion corrections in eV/f.u.: 17.7
Symmetry: Pm-3m
Spin magnetization in μB/f.u.: 8.46
Electronic total energy in eV per atom: -3.393

Entry 2:
Compound: CrTc2Rh
Source: the Alexandria database
Functional: GGA-PBE
Structure: relaxed

a b c (Å): 9.1405 9.1405 9.1405
angles (deg): 156.52 156.52 33.45
Last column: nearest neighbours and their distance in Å.
Sites, in units of the cell vectors:
Cr 0.0000 0.0000 0.0000  4 Tc 2.51, 4 Rh 2.63
Cr 0.7500 0.2500 0.5000  4 Tc 2.51, 4 Rh 2.63
Tc 0.0914 0.6250 0.9664  2 Tc 2.46, 2 Cr 2.51, 2 Rh 2.60
Tc 0.3750 0.3414 0.4664  2 Tc 2.46, 2 Cr 2.51, 2 Rh 2.60
Tc 0.6586 0.1250 0.0336  2 Tc 2.46, 2 Cr 2.51, 2 Rh 2.60
Tc 0.8750 0.9086 0.5336  2 Tc 2.46, 2 Cr 2.51, 2 Rh 2.60
Rh 0.2500 0.7500 0.5000  4 Tc 2.60, 4 Cr 2.63
Rh 0.5000 0.5000 0.0000  4 Tc 2.60, 4 Cr 2.63

Values from the calculation:
Fermi-level density of states in states/eV per cell: 11.5
Calculated formation energy in eV per atom: 0.6063
Symmetry: I-42d
Spin magnetization in μB/f.u.: 0.00
Electronic total energy in eV per atom: -8.820